Compound: NaMgPd2F6
Source: the Alexandria database
Functional: GGA-PBE
Structure: relaxed

Unit cell a=6.074 b=6.074 c=6.074 alpha=55.09 beta=55.09 gamma=55.09
Atoms (fractional coordinates):
Na  0.000  0.000  0.000
Mg  0.488  0.488  0.488
Pd  0.291  0.291  0.291
Pd  0.800  0.800  0.800
F  0.121  0.689  0.398
F  0.234  0.581  0.849
F  0.398  0.121  0.689
F  0.581  0.849  0.234
F  0.689  0.398  0.121
F  0.849  0.234  0.581

## Properties
For the calculated total energy, the calculation gives -4.432 eV/atom. As for the volume: 140 Å³/f.u. Its total magnetization is 3.0 μB per cell.

=====

Compound: La2TlNiSn
Source: the Alexandria database
Functional: GGA-PBE
Structure: relaxed

Unit cell a=5.386 b=5.386 c=4.977 alpha=90.00 beta=90.00 gamma=90.00
Atoms (fractional coordinates):
La  0.000  0.500  0.000
La  0.500  0.000  0.000
Tl  0.000  0.000  0.500
Ni  0.000  0.000  0.000
Sn  0.500  0.500  0.500

## Properties
For the calculated total energy, the calculation gives -4.821 eV/atom. As for the volume: 144 Å³/f.u. As for the polymorph energy (0 for the lowest one): 0.011 eV per atom. Its total magnetization is 0.0 μB per cell. Its formation energy is -0.42 eV/atom.

=====

Compound: SrGe2RuRh
Source: the Alexandria database
Functional: GGA-PBE
Structure: relaxed

Unit cell a=6.108 b=6.108 c=6.108 alpha=138.92 beta=138.92 gamma=59.49
Atoms (fractional coordinates):
Sr  0.000  0.000  0.000
Ge  0.364  0.364  0.000
Ge  0.636  0.636  0.000
Ru  0.750  0.250  0.500
Rh  0.250  0.750  0.500

## Properties
For the calculated total energy, the calculation gives -6.175 eV/atom. As for the volume: 97 Å³/f.u. Its total magnetization is 0.0 μB per cell. Its formation energy is -0.67 eV/atom.

=====

Compound: Zr2AgSn2
Source: the Alexandria database
Functional: GGA-PBE
Structure: relaxed

Unit cell a=7.598 b=7.598 c=4.083 alpha=90.00 beta=90.00 gamma=90.00
Atoms (fractional coordinates):
Zr  0.138  0.362  0.000
Zr  0.362  0.862  0.000
Zr  0.638  0.138  0.000
Zr  0.862  0.638  0.000
Ag  0.000  0.000  0.000
Ag  0.500  0.500  0.000
Sn  0.168  0.668  0.500
Sn  0.332  0.168  0.500
Sn  0.668  0.832  0.500
Sn  0.832  0.332  0.500

## Properties
For the calculated total energy, the calculation gives -5.708 eV/atom. As for the volume: 118 Å³/f.u. As for the polymorph energy (0 for the lowest one): 0.144 eV per atom. Its total magnetization is 0.8 μB per cell. Its formation energy is -0.12 eV/atom.

=====

Compound: CrP2H
Source: the Alexandria database
Functional: GGA-PBE
Structure: relaxed

Unit cell a=3.991 b=3.991 c=3.991 alpha=60.00 beta=60.00 gamma=60.00
Atoms (fractional coordinates):
Cr  0.000  0.000  0.000
P  0.250  0.250  0.250
P  0.750  0.750  0.750
H  0.500  0.500  0.500

## Properties
For the calculated total energy, the calculation gives -5.462 eV/atom. As for the volume: 45 Å³/f.u. As for the polymorph energy (0 for the lowest one): 0.154 eV per atom. Its total magnetization is 1.4 μB per cell.

=====

Compound: Ca2CuSe
Source: the Alexandria database
Functional: GGA-PBE
Structure: relaxed

Unit cell a=7.366 b=7.366 c=7.366 alpha=33.09 beta=33.09 gamma=33.09
Atoms (fractional coordinates):
Ca  0.250  0.250  0.250
Ca  0.750  0.750  0.750
Cu  0.500  0.500  0.500
Se  0.000  0.000  0.000

## Properties
For the calculated total energy, the calculation gives -3.775 eV/atom. As for the volume: 106 Å³/f.u. Its total magnetization is 0.0 μB per cell.

=====

Compound: AlIn2BiAs
Source: the Alexandria database
Functional: GGA-PBE
Structure: relaxed

Unit cell a=5.781 b=5.781 c=5.501 alpha=90.00 beta=90.00 gamma=90.00
Atoms (fractional coordinates):
Al  0.000  0.000  0.000
In  0.000  0.500  0.500
In  0.500  0.000  0.500
Bi  0.000  0.000  0.500
As  0.500  0.500  0.000

## Properties
For the calculated total energy, the calculation gives -2.688 eV/atom. As for the volume: 184 Å³/f.u. Its total magnetization is 0.0 μB per cell. Its formation energy is 0.86 eV/atom.

=====

Compound: K2CSe
Source: the Alexandria database
Functional: GGA-PBE
Structure: relaxed

Unit cell a=10.044 b=10.044 c=10.044 alpha=146.37 beta=146.37 gamma=48.30
Atoms (fractional coordinates):
K  0.097  0.625  0.972
K  0.375  0.347  0.472
K  0.653  0.125  0.028
K  0.875  0.903  0.528
C  0.000  0.000  0.000
C  0.750  0.250  0.500
Se  0.250  0.750  0.500
Se  0.500  0.500  0.000

## Properties
For the calculated total energy, the calculation gives -2.731 eV/atom. As for the volume: 155 Å³/f.u. As for the polymorph energy (0 for the lowest one): 0.196 eV per atom. Its total magnetization is 4.0 μB per cell.

=====

Compound: BaSbW2
Source: the Alexandria database
Functional: GGA-PBE
Structure: relaxed

Unit cell a=4.610 b=4.610 c=7.334 alpha=98.22 beta=98.22 gamma=43.51
Atoms (fractional coordinates):
Ba  0.000  0.000  0.000
Sb  0.766  0.766  0.346
W  0.228  0.228  0.657
W  0.509  0.509  0.538

## Properties
For the calculated total energy, the calculation gives -7.463 eV/atom. As for the volume: 106 Å³/f.u. Its total magnetization is 0.6 μB per cell.

=====

Compound: TiZn2Re
Source: the Alexandria database
Functional: GGA-PBE
Structure: relaxed

Unit cell a=4.358 b=4.358 c=4.358 alpha=60.00 beta=60.00 gamma=60.00
Atoms (fractional coordinates):
Ti  0.000  0.000  0.000
Zn  0.250  0.250  0.250
Zn  0.750  0.750  0.750
Re  0.500  0.500  0.500

## Properties
For the calculated total energy, the calculation gives -5.615 eV/atom. As for the volume: 59 Å³/f.u. As for the polymorph energy (0 for the lowest one): 0.000 eV per atom. Its total magnetization is 0.0 μB per cell. Its formation energy is 0.11 eV/atom.

=====

Compound: KCd4Re
Source: the Alexandria database
Functional: GGA-PBE
Structure: relaxed

Unit cell a=5.815 b=5.815 c=5.815 alpha=60.00 beta=60.00 gamma=60.00
Atoms (fractional coordinates):
K  0.000  0.000  0.000
Cd  0.376  0.376  0.376
Cd  0.376  0.376  0.872
Cd  0.376  0.872  0.376
Cd  0.872  0.376  0.376
Re  0.750  0.750  0.750

## Properties
For the calculated total energy, the calculation gives -2.143 eV/atom. As for the volume: 139 Å³/f.u. Its total magnetization is 3.1 μB per cell. Its formation energy is 0.72 eV/atom.

=====

Compound: Si3C
Source: the Alexandria database
Functional: GGA-PBE
Structure: relaxed

Unit cell a=2.730 b=2.730 c=6.241 alpha=90.00 beta=90.00 gamma=90.00
Atoms (fractional coordinates):
Si  0.000  0.000  0.000
Si  0.500  0.500  0.309
Si  0.500  0.500  0.691
C  0.000  0.000  0.500

## Properties
For the calculated total energy, the calculation gives -5.263 eV/atom. As for the volume: 46 Å³/f.u. As for the polymorph energy (0 for the lowest one): 0.934 eV per atom. Its total magnetization is 0.0 μB per cell.